## BPbOF2 (PBE)

Data for a relaxed BPbOF2 crystal.

```
5
Lattice="4.6328 0.0000 0.0000 0.0000 4.6328 0.0000 0.0000 0.0000 4.2902" Properties=species:S:1:pos:R:3 pbc="T T T"
B 0.0000 0.0000 0.0000
Pb 2.3164 2.3164 2.1451
O 2.3164 2.3164 0.0000
F 0.0000 2.3164 2.1451
F 2.3164 0.0000 2.1451
```

- total moment (μB/atom) = 0.000
- calculated volume (Å³/cell) = 92.1
- electronic total energy (eV per cell) = -20.39
- space-group type = P4/mmm, No. 123
- ΔE to the lowest computed polymorph (meV per atom) = 1041.0


## BPbO2F (PBE)

Data for a relaxed BPbO2F crystal.

```
10
Lattice="6.0949 0.0000 0.0000 0.0000 4.5269 0.0000 -2.0150 0.0000 6.8733" Properties=species:S:1:pos:R:3 pbc="T T T"
B 0.6525 1.1317 2.7864
B 3.4274 3.3952 4.0869
Pb -0.4131 1.1317 6.0867
Pb 4.4930 3.3952 0.7866
O 0.3480 1.1317 1.5515
O 0.8727 1.1317 4.0311
O 3.2072 3.3952 2.8422
O 3.7318 3.3952 5.3218
F 0.4108 3.3952 6.5297
F 3.6691 1.1317 0.3436
```

- total moment (μB/atom) = 0.000
- calculated volume (Å³/cell) = 189.6
- electronic total energy (eV per cell) = -64.21
- space-group type = P2_1/m, No. 11


## B9Pb8O21F (PBE)

Data for a relaxed B9Pb8O21F crystal.

```
78
Lattice="4.9683 2.8684 12.9986 -4.9683 2.8684 12.9986 0.0000 -5.7369 12.9986" Properties=species:S:1:pos:R:3 pbc="T T T"
B -2.7039 -0.4670 14.4027
B -4.0208 0.2933 18.0939
B -0.7475 -1.2948 9.7490
B -2.2644 -3.3354 20.9020
B -0.7475 1.2948 9.7490
B -0.9475 -2.5751 24.5932
B 1.4951 0.0000 9.7490
B 1.7564 -2.1081 14.4027
B 1.7564 -3.6288 18.0939
B -1.7564 3.6288 20.9020
B -1.7564 2.1081 24.5932
B -1.4951 0.0000 29.2469
B 0.9475 2.5751 14.4027
B 0.7475 -1.2948 29.2469
B 2.2644 3.3354 18.0939
B 0.7475 1.2948 29.2469
B 4.0208 -0.2933 20.9020
B 2.7039 0.4670 24.5932
Pb -1.3610 -3.5916 14.5437
Pb 0.0000 0.0000 6.3100
Pb -1.3610 -2.1453 17.9529
Pb -3.7909 -0.6171 24.4522
Pb -2.5384 0.1060 21.0430
Pb -2.4299 2.9744 14.5437
Pb 0.0000 0.0000 13.1880
Pb -1.1774 2.2513 17.9528
Pb 1.1774 -2.2513 21.0430
Pb 0.0000 0.0000 25.8079
Pb 2.4299 -2.9745 24.4522
Pb 2.5384 -0.1060 17.9528
Pb 3.7909 0.6171 14.5437
Pb 1.3610 2.1453 21.0430
Pb 0.0000 0.0000 32.6859
Pb 1.3610 3.5916 24.4522
O -4.7057 -0.9175 21.0950
O -3.6496 -0.8705 17.4535
O -1.5583 -4.5340 17.9009
O -1.0709 -2.1410 10.9542
O -1.4192 0.0000 9.7490
O -2.6658 0.6201 13.5219
O -1.5583 -1.2029 14.5957
O -2.3025 -2.2483 20.0212
O -3.0984 0.8698 18.9747
O -1.0709 -3.5959 21.5424
O 0.7096 -1.2291 9.7490
O -1.3187 1.9979 10.9542
O 0.7959 -2.6187 13.5219
O -1.8699 -1.9986 25.4740
O -3.1474 3.6165 17.9008
O 0.7959 -3.1182 18.9747
O 0.7096 1.2291 9.7490
O -2.5787 2.7254 21.5424
O -0.2626 1.9510 14.5957
O -2.3896 -0.1430 28.0417
O -1.8209 0.7481 24.4002
O 1.8209 -0.7481 14.5957
O 2.3896 0.1430 10.9541
O 0.2626 -1.9510 24.4002
O 2.5787 -2.7254 17.4535
O -0.7096 -1.2291 29.2469
O -0.7959 3.1182 20.0212
O 3.1474 -3.6165 21.0951
O 1.8699 1.9986 13.5219
O -0.7959 2.6187 25.4740
O 1.3187 -1.9979 28.0417
O -0.7096 1.2291 29.2469
O 1.0709 3.5959 17.4535
O 3.0984 -0.8698 20.0212
O 2.3025 2.2483 18.9746
O 1.5583 1.2029 24.4002
O 2.6658 -0.6201 25.4740
O 1.4192 0.0000 29.2469
O 1.0709 2.1410 28.0417
O 1.5583 4.5340 21.0950
O 3.6496 0.8705 21.5424
O 4.7057 0.9175 17.9009
F 0.0000 0.0000 0.0000
F 0.0000 0.0000 19.4979
```

- total moment (μB/atom) = 0.000
- calculated volume (Å³/cell) = 1111.5
- electronic total energy (eV per cell) = -546.16
- space-group type = R-3c, No. 167


## BPbOF2 (PBE)

Data for a relaxed BPbOF2 crystal.

```
5
Lattice="4.7286 0.0000 0.0000 0.0000 4.7286 0.0000 0.0000 0.0000 2.7745" Properties=species:S:1:pos:R:3 pbc="T T T"
B 0.0000 0.0000 0.0000
Pb 2.3643 2.3643 1.3872
O 0.0000 0.0000 1.3872
F 0.0000 2.3643 0.0000
F 2.3643 0.0000 0.0000
```

- total moment (μB/atom) = 0.000
- calculated volume (Å³/cell) = 62.0
- electronic total energy (eV per cell) = -25.60
- space-group type = P4/mmm, No. 123
- ΔE to the lowest computed polymorph (meV per atom) = 0.0


## BPbO2F (PBE)

Data for a relaxed BPbO2F crystal.

```
5
Lattice="3.4858 0.0000 0.0000 0.0000 3.4858 0.0000 0.0000 0.0000 4.2034" Properties=species:S:1:pos:R:3 pbc="T T T"
B 0.0000 0.0000 0.0000
Pb 1.7429 1.7429 2.1017
O 0.0000 1.7429 0.0000
O 1.7429 0.0000 0.0000
F 0.0000 0.0000 2.1017
```

- total moment (μB/atom) = 0.000
- calculated volume (Å³/cell) = 51.1
- electronic total energy (eV per cell) = -27.13
- space-group type = P4/mmm, No. 123


## BPdO2F (PBE)

Data for a relaxed BPdO2F crystal.

```
5
Lattice="3.5581 0.0000 0.0000 0.0000 3.5581 0.0000 0.0000 0.0000 3.2865" Properties=species:S:1:pos:R:3 pbc="T T T"
B 0.0000 0.0000 0.0000
Pd 1.7790 1.7790 1.6433
O 0.0000 1.7790 0.0000
O 1.7790 0.0000 0.0000
F 0.0000 0.0000 1.6433
```

- total moment (μB/atom) = 0.000
- calculated volume (Å³/cell) = 41.6
- electronic total energy (eV per cell) = -25.65
- space-group type = P4/mmm, No. 123


## BPdOF2 (PBE)

Data for a relaxed BPdOF2 crystal.

```
5
Lattice="4.2624 0.0000 0.0000 0.0000 4.2624 0.0000 0.0000 0.0000 3.8534" Properties=species:S:1:pos:R:3 pbc="T T T"
B 0.0000 0.0000 0.0000
Pd 2.1312 2.1312 1.9267
O 2.1312 2.1312 0.0000
F 0.0000 2.1312 1.9267
F 2.1312 0.0000 1.9267
```

- total moment (μB/atom) = 0.137
- calculated volume (Å³/cell) = 70.0
- electronic total energy (eV per cell) = -19.55
- space-group type = P4/mmm, No. 123
- ΔE to the lowest computed polymorph (meV per atom) = 1271.7


## BPdOF2 (PBE)

Data for a relaxed BPdOF2 crystal.

```
5
Lattice="4.3940 0.0000 0.0000 0.0000 4.3940 0.0000 0.0000 0.0000 2.6404" Properties=species:S:1:pos:R:3 pbc="T T T"
B 0.0000 0.0000 0.0000
Pd 2.1970 2.1970 1.3202
O 0.0000 0.0000 1.3202
F 0.0000 2.1970 0.0000
F 2.1970 0.0000 0.0000
```

- total moment (μB/atom) = 0.199
- calculated volume (Å³/cell) = 51.0
- electronic total energy (eV per cell) = -25.91
- space-group type = P4/mmm, No. 123
- ΔE to the lowest computed polymorph (meV per atom) = 0.0


## BPdO2F (PBE)

Data for a relaxed BPdO2F crystal.

```
5
Lattice="3.9264 0.0000 0.0000 0.0000 3.9264 0.0000 0.0000 0.0000 4.2600" Properties=species:S:1:pos:R:3 pbc="T T T"
B 0.0000 0.0000 0.0000
Pd 1.9632 1.9632 2.1300
O 0.0000 1.9632 2.1300
O 1.9632 0.0000 2.1300
F 1.9632 1.9632 0.0000
```

- total moment (μB/atom) = 0.277
- calculated volume (Å³/cell) = 65.7
- electronic total energy (eV per cell) = -20.57
- space-group type = P4/mmm, No. 123


## Pm2B2O6F (PBE)

Data for a relaxed Pm2B2O6F crystal.

```
11
Lattice="5.3525 0.0000 0.0000 1.5666 5.3549 0.0000 2.2224 -0.2295 5.5581" Properties=species:S:1:pos:R:3 pbc="T T T"
Pm 1.1599 1.3919 1.4052
Pm 7.9816 3.7335 4.1529
B 3.9675 3.4532 1.5308
B 5.1740 1.6722 4.0273
O 3.1258 2.5079 2.0977
O 3.7727 4.7371 1.9955
O 4.1834 2.0143 4.9037
O 4.9580 3.1111 0.6544
O 5.3688 0.3883 3.5626
O 6.0157 2.6175 3.4604
F 0.0000 0.0000 0.0000
```

- total moment (μB/atom) = 0.094
- calculated volume (Å³/cell) = 159.3
- electronic total energy (eV per cell) = -86.19
- space-group type = P-1, No. 2


## Pr4B4O11F2 (PBE)

Data for a relaxed Pr4B4O11F2 crystal.

```
42
Lattice="7.0438 -2.3867 0.0000 7.0438 2.3867 0.0000 -0.2016 0.0000 14.1423" Properties=species:S:1:pos:R:3 pbc="T T T"
Pr 0.7542 0.1210 5.2474
Pr 0.6534 -0.1210 12.3185
Pr 3.0870 0.1000 1.8297
Pr 2.9862 -0.1000 8.9009
Pr 10.8999 0.1000 5.2414
Pr 10.7991 -0.1000 12.3126
Pr 13.2327 0.1210 1.8237
Pr 13.1319 -0.1210 8.8949
B 5.6179 0.2396 6.6746
B 5.5880 0.0925 11.0993
B 5.6888 -0.0925 4.0281
B 5.5171 -0.2396 13.7457
B 8.3689 0.2396 0.3966
B 8.1973 0.0925 10.1141
B 8.2981 -0.0925 3.0430
B 8.2681 -0.2396 7.4677
O 5.8157 1.5999 6.5346
O 5.5722 1.3166 3.8663
O 4.5023 0.8720 10.5020
O 8.1712 1.5999 0.5366
O 5.6256 0.5841 12.6141
O 8.4147 1.3166 3.2049
O 5.4434 0.2633 0.8517
O 6.8926 0.6803 10.6067
O 5.3426 -0.2633 7.9229
O 8.1597 0.5841 8.5994
O 9.2830 0.8720 10.7115
O 4.6030 -0.8720 3.4308
O 5.7264 -0.5841 5.5429
O 8.5434 0.2633 6.2194
O 6.9934 -0.6803 3.5356
O 8.4426 -0.2633 13.2906
O 5.4714 -1.3166 10.9374
O 8.2605 -0.5841 1.5282
O 5.7149 -1.5999 13.6057
O 9.3838 -0.8720 3.6403
O 8.3139 -1.3166 10.2760
O 8.0704 -1.5999 7.6077
F 3.1458 0.0972 5.9786
F 3.0450 -0.0972 13.0497
F 10.8410 0.0972 1.0926
F 10.7403 -0.0972 8.1637
```

- total moment (μB/atom) = 0.000
- calculated volume (Å³/cell) = 475.5
- electronic total energy (eV per cell) = -339.00
- space-group type = C2/c, No. 15


## BPtO2F (PBE)

Data for a relaxed BPtO2F crystal.

```
5
Lattice="3.8965 0.0000 0.0000 0.0000 3.8965 0.0000 0.0000 0.0000 4.4244" Properties=species:S:1:pos:R:3 pbc="T T T"
B 0.0000 0.0000 0.0000
Pt 1.9482 1.9482 2.2122
O 0.0000 1.9482 2.2122
O 1.9482 0.0000 2.2122
F 1.9482 1.9482 0.0000
```

- total moment (μB/atom) = 0.222
- calculated volume (Å³/cell) = 67.2
- electronic total energy (eV per cell) = -21.52
- space-group type = P4/mmm, No. 123


## BPtO2F (PBE)

Data for a relaxed BPtO2F crystal.

```
5
Lattice="3.6800 0.0000 0.0000 0.0000 3.6800 0.0000 0.0000 0.0000 3.1758" Properties=species:S:1:pos:R:3 pbc="T T T"
B 0.0000 0.0000 0.0000
Pt 1.8400 1.8400 1.5879
O 0.0000 1.8400 0.0000
O 1.8400 0.0000 0.0000
F 0.0000 0.0000 1.5879
```

- total moment (μB/atom) = 0.000
- calculated volume (Å³/cell) = 43.0
- electronic total energy (eV per cell) = -24.92
- space-group type = P4/mmm, No. 123


## Rb2BOF6 (PBE)

Data for a relaxed Rb2BOF6 crystal.

```
10
Lattice="-3.0955 3.0955 4.0898 3.0955 -3.0955 4.0898 3.0955 3.0955 -4.0898" Properties=species:S:1:pos:R:3 pbc="T T T"
Rb 3.0955 0.0000 2.0449
Rb 0.0000 3.0955 2.0449
B 0.0000 0.0000 0.0000
O 0.0000 0.0000 4.0898
F 1.0641 1.0641 0.0000
F 2.0314 -2.0314 4.0898
F 0.0000 0.0000 2.3806
F 0.0000 0.0000 5.7990
F -2.0314 2.0314 4.0898
F 2.0314 2.0314 4.0898
```

- total moment (μB/atom) = 0.100
- calculated volume (Å³/cell) = 156.8
- electronic total energy (eV per cell) = -43.72
- space-group type = I4/mmm, No. 139


## Rb2BOF (PBE)

Data for a relaxed Rb2BOF crystal.

```
5
Lattice="5.3454 0.0000 0.0000 0.0000 5.3454 0.0000 0.0000 0.0000 4.0708" Properties=species:S:1:pos:R:3 pbc="T T T"
Rb 0.0000 2.6727 0.0000
Rb 2.6727 0.0000 0.0000
B 0.0000 0.0000 2.0354
O 2.6727 2.6727 2.0354
F 0.0000 0.0000 0.0000
```

- total moment (μB/atom) = 0.000
- calculated volume (Å³/cell) = 116.3
- electronic total energy (eV per cell) = -16.18
- space-group type = P4/mmm, No. 123


## ReBOF2 (PBE)

Data for a relaxed ReBOF2 crystal.

```
5
Lattice="4.6949 0.0000 0.0000 0.0000 4.6949 0.0000 0.0000 0.0000 2.5793" Properties=species:S:1:pos:R:3 pbc="T T T"
Re 0.0000 0.0000 0.0000
B 2.3474 2.3474 1.2896
O 2.3474 2.3474 0.0000
F 0.0000 2.3474 1.2896
F 2.3474 0.0000 1.2896
```

- total moment (μB/atom) = 0.582
- calculated volume (Å³/cell) = 56.9
- electronic total energy (eV per cell) = -29.61
- space-group type = P4/mmm, No. 123
- ΔE to the lowest computed polymorph (meV per atom) = 0.0


## ReB2OF (PBE)

Data for a relaxed ReB2OF crystal.

```
5
Lattice="3.4254 0.0000 0.0000 0.0000 3.4254 0.0000 0.0000 0.0000 4.2705" Properties=species:S:1:pos:R:3 pbc="T T T"
Re 0.0000 0.0000 0.0000
B 0.0000 1.7127 2.1352
B 1.7127 0.0000 2.1352
O 0.0000 0.0000 2.1352
F 1.7127 1.7127 0.0000
```

- total moment (μB/atom) = 0.000
- calculated volume (Å³/cell) = 50.1
- electronic total energy (eV per cell) = -25.37
- space-group type = P4/mmm, No. 123


## ReBOF2 (PBE)

Data for a relaxed ReBOF2 crystal.

```
5
Lattice="4.1854 0.0000 0.0000 0.0000 4.1854 0.0000 0.0000 0.0000 3.7818" Properties=species:S:1:pos:R:3 pbc="T T T"
Re 0.0000 0.0000 0.0000
B 2.0927 2.0927 1.8909
O 0.0000 0.0000 1.8909
F 0.0000 2.0927 0.0000
F 2.0927 0.0000 0.0000
```

- total moment (μB/atom) = 0.008
- calculated volume (Å³/cell) = 66.2
- electronic total energy (eV per cell) = -28.27
- space-group type = P4/mmm, No. 123
- ΔE to the lowest computed polymorph (meV per atom) = 269.4


## BSO2F (PBE)

Data for a relaxed BSO2F crystal.

```
5
Lattice="3.5639 0.0000 0.0000 0.0000 3.5639 0.0000 0.0000 0.0000 4.5611" Properties=species:S:1:pos:R:3 pbc="T T T"
B 0.0000 0.0000 0.0000
S 1.7820 1.7820 2.2806
O 0.0000 1.7820 2.2806
O 1.7820 0.0000 2.2806
F 1.7820 1.7820 0.0000
```

- total moment (μB/atom) = 0.000
- calculated volume (Å³/cell) = 57.9
- electronic total energy (eV per cell) = -19.85
- space-group type = P4/mmm, No. 123


## BSO2F (PBE)

Data for a relaxed BSO2F crystal.

```
5
Lattice="3.5030 0.0000 0.0000 0.0000 3.5030 0.0000 0.0000 0.0000 3.3193" Properties=species:S:1:pos:R:3 pbc="T T T"
B 0.0000 0.0000 0.0000
S 1.7515 1.7515 1.6597
O 0.0000 1.7515 0.0000
O 1.7515 0.0000 0.0000
F 0.0000 0.0000 1.6597
```

- total moment (μB/atom) = 0.000
- calculated volume (Å³/cell) = 40.7
- electronic total energy (eV per cell) = -22.89
- space-group type = P4/mmm, No. 123


## BSbO2F (PBE)

Data for a relaxed BSbO2F crystal.

```
5
Lattice="3.5694 0.0000 0.0000 0.0000 3.5694 0.0000 0.0000 0.0000 3.8972" Properties=species:S:1:pos:R:3 pbc="T T T"
B 0.0000 0.0000 0.0000
Sb 1.7847 1.7847 1.9486
O 0.0000 1.7847 0.0000
O 1.7847 0.0000 0.0000
F 0.0000 0.0000 1.9486
```

- total moment (μB/atom) = 0.000
- calculated volume (Å³/cell) = 49.7
- electronic total energy (eV per cell) = -25.55
- space-group type = P4/mmm, No. 123


## BSbO2F (PBE)

Data for a relaxed BSbO2F crystal.

```
5
Lattice="4.0788 0.0000 0.0000 0.0000 4.0788 0.0000 0.0000 0.0000 4.3045" Properties=species:S:1:pos:R:3 pbc="T T T"
B 0.0000 0.0000 0.0000
Sb 2.0394 2.0394 2.1523
O 0.0000 2.0394 2.1523
O 2.0394 0.0000 2.1523
F 2.0394 2.0394 0.0000
```

- total moment (μB/atom) = 0.000
- calculated volume (Å³/cell) = 71.6
- electronic total energy (eV per cell) = -23.45
- space-group type = P4/mmm, No. 123